The following is a DFT calculation (PBE) of a geometry-optimized PmCd3 structure.

Cell: 4.6694 4.6694 4.6694 Å, 90.00 90.00 90.00°
Fractional coordinates of all 4 atoms:
1 Pm 0.0000 0.0000 0.0000
2 Cd 0.0000 0.5000 0.5000
3 Cd 0.5000 0.0000 0.5000
4 Cd 0.5000 0.5000 0.0000

Summary:
Density, g cm⁻³: 7.87
Energy relative to the elements, eV per atom: -0.2553
Density of states at the Fermi level, states/eV per cell: 4.2
E, eV per atom: -2.129
Crystal system: cubic
Volume, Å³ per cell: 101.8

The following is a DFT calculation (PBE) of a geometry-optimized Th2AgAu2 structure.

Cell: 7.9465 7.9465 4.0106 Å, 90.00 90.00 90.00°
Fractional coordinates of all 10 atoms:
1 Th 0.1739 0.3261 0.0000
2 Th 0.3261 0.8261 0.0000
3 Th 0.6739 0.1739 0.0000
4 Th 0.8261 0.6739 0.0000
5 Ag 0.0000 0.0000 0.5000
6 Ag 0.5000 0.5000 0.5000
7 Au 0.1298 0.6298 0.5000
8 Au 0.3702 0.1298 0.5000
9 Au 0.6298 0.8702 0.5000
10 Au 0.8702 0.3702 0.5000

Summary:
Density, g cm⁻³: 12.67
Energy relative to the elements, eV per atom: -0.4997
Density of states at the Fermi level, states/eV per cell: 9.2
E, eV per atom: -5.349
Crystal system: tetragonal
Volume, Å³ per cell: 253.3

The following is a DFT calculation (PBE) of a geometry-optimized Tm6Tl5Ag structure.

Cell: 8.3835 8.3835 7.3880 Å, 90.00 90.00 143.19°
Fractional coordinates of all 12 atoms:
1 Tm 0.0000 0.0000 0.2443
2 Tm 0.0000 0.0000 0.7557
3 Tm 0.3362 0.6638 0.2454
4 Tm 0.3362 0.6638 0.7546
5 Tm 0.6638 0.3362 0.2454
6 Tm 0.6638 0.3362 0.7546
7 Tl 0.1632 0.8368 0.0000
8 Tl 0.1677 0.8323 0.5000
9 Tl 0.5000 0.5000 0.5000
10 Tl 0.8323 0.1677 0.5000
11 Tl 0.8368 0.1632 0.0000
12 Ag 0.5000 0.5000 0.0000

Summary:
Density, g cm⁻³: 11.44
Energy relative to the elements, eV per atom: -0.3004
Density of states at the Fermi level, states/eV per cell: 10.0
E, eV per atom: -3.760
Crystal system: orthorhombic
E above lowest polymorph, meV/atom: 0
Volume, Å³ per cell: 311.1